Density functional theory data (GGA-PBE) for a relaxed structure of VAgSe3.

M_tot: 0.42 μB/f.u.
ΔE to the lowest computed polymorph: 402.8 meV per atom
SG: Pm-3m

Unit cell a=4.857 b=4.857 c=4.857 alpha=90.00 beta=90.00 gamma=90.00
Site moments in Bohr magnetons follow the coordinates.
Positions (direct):
Se: 0.500 0.000 0.000  -0.10
Ag: 0.500 0.500 0.500  0.01
V: 0.000 0.000 0.000  0.69
Se: 0.000 0.500 0.000  -0.10
Se: 0.000 0.000 0.500  -0.10